No. 1
Compound: Li2Ac4N
Source: Alexandria via LeMat-Bulk
Functional: PBE
Structure: relaxed

Lattice parameters (Å, degrees): 8.8485 8.8485 8.8485 144.41 144.41 51.22
Last column: nearest neighbours and their distance in Å.
Fractional coordinates of all 7 atoms:
Li: 0.1280 0.1280 0.0000  5 Ac 3.29-3.39
Li: 0.8720 0.8720 0.0000  5 Ac 3.29-3.39
Ac: 0.0000 0.5000 0.5000  2 N 2.70
Ac: 0.3343 0.3343 0.0000  1 N 2.64
Ac: 0.5000 0.0000 0.5000  2 N 2.70
Ac: 0.6657 0.6657 0.0000  1 N 2.64
N: 0.5000 0.5000 0.0000  6 Ac 2.64-2.70

Formation energy without anion corrections, meV/atom: -160
Space-group type: I4/mmm (139)
ρ, g/cm3: 6.7
E, eV/cell: -29.70

---

No. 2
Compound: LiAc2N2
Source: Alexandria via LeMat-Bulk
Functional: PBE
Structure: relaxed

Lattice parameters (Å, degrees): 7.2447 7.2447 7.2447 148.62 148.62 44.97
Last column: nearest neighbours and their distance in Å.
Fractional coordinates of all 5 atoms:
Li: 0.0000 0.0000 0.0000  2 N 2.14
Ac: 0.3470 0.3470 0.0000  5 N 2.51-2.77
Ac: 0.6530 0.6530 0.0000  5 N 2.51-2.77
N: 0.1597 0.1597 0.0000  1 Li 2.14
N: 0.8403 0.8403 0.0000  1 Li 2.14

Formation energy without anion corrections, meV/atom: -828
Space-group type: I4/mmm (139)
ρ, g/cm3: 7.9
E, eV/cell: -30.92

---

No. 3
Compound: LiAc3N
Source: Alexandria via LeMat-Bulk
Functional: PBE
Structure: relaxed

Lattice parameters (Å, degrees): 5.3997 5.3997 5.3997 90.00 90.00 90.00
Last column: nearest neighbours and their distance in Å.
Fractional coordinates of all 5 atoms:
Li: 0.0000 0.0000 0.0000  12 Ac 3.82
Ac: 0.0000 0.5000 0.5000  2 N 2.70
Ac: 0.5000 0.0000 0.5000  2 N 2.70
Ac: 0.5000 0.5000 0.0000  2 N 2.70
N: 0.5000 0.5000 0.5000  6 Ac 2.70

Formation energy without anion corrections, meV/atom: -357
Space-group type: Pm-3m (221)
ρ, g/cm3: 7.4
E, eV/cell: -24.35

---

No. 4
Compound: LiAc6N4
Source: Alexandria via LeMat-Bulk
Functional: PBE
Structure: relaxed

Lattice parameters (Å, degrees): 6.8709 6.8709 21.5319 90.00 90.00 146.92
Last column: nearest neighbours and their distance in Å.
Fractional coordinates of all 22 atoms:
Li: 0.1642 0.8358 0.7500  6 Ac 3.20-3.44
Li: 0.8358 0.1642 0.2500  6 Ac 3.20-3.44
Ac: 0.0000 0.0000 0.0000  6 N 2.71-2.82
Ac: 0.0000 0.0000 0.5000  6 N 2.71-2.82
Ac: 0.1431 0.8569 0.2500  2 N 3.00, 2 Li 3.20
Ac: 0.2758 0.7242 0.5754  5 N 2.66-2.89
Ac: 0.2758 0.7242 0.9246  5 N 2.66-2.89
Ac: 0.4629 0.5371 0.1443  3 N 2.54-2.68
Ac: 0.4629 0.5371 0.3557  3 N 2.54-2.68
Ac: 0.5371 0.4629 0.6443  3 N 2.54-2.68
Ac: 0.5371 0.4629 0.8557  3 N 2.54-2.68
Ac: 0.7242 0.2758 0.0754  5 N 2.66-2.89
Ac: 0.7242 0.2758 0.4246  5 N 2.66-2.89
Ac: 0.8569 0.1431 0.7500  2 N 3.00, 2 Li 3.20
N: 0.0775 0.9225 0.1165  3 Ac 2.54-2.71
N: 0.0775 0.9225 0.3835  3 Ac 2.54-2.71
N: 0.3584 0.6416 0.0373  6 Ac 2.66-2.82
N: 0.3584 0.6416 0.4627  6 Ac 2.66-2.82
N: 0.6416 0.3584 0.5373  6 Ac 2.66-2.82
N: 0.6416 0.3584 0.9627  6 Ac 2.66-2.82
N: 0.9225 0.0775 0.6165  3 Ac 2.54-2.71
N: 0.9225 0.0775 0.8835  3 Ac 2.54-2.71

Formation energy without anion corrections, meV/atom: -721
Space-group type: Cmcm (63)
ρ, g/cm3: 8.5
E, eV/cell: -135.59

---

No. 5
Compound: Li4AcN2
Source: Alexandria via LeMat-Bulk
Functional: PBE
Structure: relaxed

Lattice parameters (Å, degrees): 7.1033 7.1033 3.5084 90.00 90.00 90.00
Last column: nearest neighbours and their distance in Å.
Fractional coordinates of all 14 atoms:
Li: 0.1030 0.3336 0.0000  3 N 2.20-2.42, 1 Li 2.32
Li: 0.1664 0.6030 0.5000  3 N 2.20-2.42, 1 Li 2.32
Li: 0.3336 0.1030 0.0000  3 N 2.20-2.42, 1 Li 2.32
Li: 0.3970 0.8336 0.5000  3 N 2.20-2.42, 1 Li 2.32
Li: 0.6030 0.1664 0.5000  3 N 2.20-2.42, 1 Li 2.32
Li: 0.6664 0.8970 0.0000  3 N 2.20-2.42, 1 Li 2.32
Li: 0.8336 0.3970 0.5000  3 N 2.20-2.42, 1 Li 2.32
Li: 0.8970 0.6664 0.0000  3 N 2.20-2.42, 1 Li 2.32
Ac: 0.0000 0.0000 0.5000  6 N 2.79-2.85, 12 Li 3.04-3.06
Ac: 0.5000 0.5000 0.0000  6 N 2.79-2.85, 12 Li 3.04-3.06
N: 0.2166 0.7834 0.0000  6 Li 2.20-2.42
N: 0.2834 0.2834 0.5000  6 Li 2.20-2.42
N: 0.7166 0.7166 0.5000  6 Li 2.20-2.42
N: 0.7834 0.2166 0.0000  6 Li 2.20-2.42

Formation energy without anion corrections, meV/atom: -298
Space-group type: P4_2/mnm (136)
ρ, g/cm3: 5.3
E, eV/cell: -61.00

---

No. 6
Compound: LiAcN4
Source: Alexandria via LeMat-Bulk
Functional: PBE
Structure: relaxed

Lattice parameters (Å, degrees): 4.3225 6.6364 6.6484 96.05 105.00 103.27
Last column: nearest neighbours and their distance in Å.
Fractional coordinates of all 12 atoms:
Li: 0.1949 0.4944 0.3897  5 N 1.99-2.16
Li: 0.8051 0.5056 0.6103  5 N 1.99-2.16
Ac: 0.0000 0.0000 0.5000  6 N 2.57-2.84
Ac: 0.5000 0.5000 0.0000  8 N 2.59-2.80
N: 0.1065 0.7139 0.1933  1 N 1.24
N: 0.2608 0.6986 0.6713  1 N 1.25
N: 0.4059 0.8046 0.2731  1 N 1.24
N: 0.4506 0.2893 0.3385  1 N 1.25
N: 0.5494 0.7107 0.6615  1 N 1.25
N: 0.5941 0.1954 0.7269  1 N 1.24
N: 0.7392 0.3014 0.3287  1 N 1.25
N: 0.8935 0.2861 0.8067  1 N 1.24

Formation energy without anion corrections, meV/atom: -374
Space-group type: P-1 (2)
ρ, g/cm3: 5.5
E, eV/cell: -83.14

---

No. 7
Compound: LiAcNbN3
Source: Alexandria via LeMat-Bulk
Functional: PBE
Structure: relaxed

Lattice parameters (Å, degrees): 6.2110 6.2110 5.6109 95.22 95.22 126.62
Last column: nearest neighbours and their distance in Å.
Fractional coordinates of all 12 atoms:
Li: 0.0636 0.9364 0.7500  5 N 2.20-2.29
Li: 0.9364 0.0636 0.2500  5 N 2.20-2.29
Ac: 0.2363 0.7637 0.2500  8 N 2.78-2.88
Ac: 0.7637 0.2363 0.7500  8 N 2.78-2.88
Nb: 0.4504 0.5496 0.7500  5 N 2.00-2.15
Nb: 0.5496 0.4504 0.2500  5 N 2.00-2.15
N: 0.2168 0.3201 0.0122  2 Nb 2.00-2.15, 1 Li 2.20
N: 0.2695 0.7305 0.7500  1 Nb 2.01
N: 0.3201 0.2168 0.5122  2 Nb 2.00-2.15, 1 Li 2.20
N: 0.6799 0.7832 0.4878  2 Nb 2.00-2.15, 1 Li 2.20
N: 0.7305 0.2695 0.2500  1 Nb 2.01
N: 0.7832 0.6799 0.9878  2 Nb 2.00-2.15, 1 Li 2.20

Formation energy without anion corrections, meV/atom: -1033
Space-group type: C2/c (15)
ρ, g/cm3: 7.2
E, eV/cell: -94.53

---

No. 8
Compound: LiAc2NpN4
Source: Alexandria via LeMat-Bulk
Functional: PBE
Structure: relaxed

Lattice parameters (Å, degrees): 6.2797 5.3859 6.2413 64.89 50.95 64.15
Last column: nearest neighbours and their distance in Å.
Fractional coordinates of all 8 atoms:
Li: 0.0000 0.0000 0.0000  2 N 2.14
Ac: 0.2041 0.2041 0.2959  6 N 2.58-2.74
Ac: 0.7041 0.7041 0.7959  6 N 2.58-2.74
Np: 0.4543 0.4543 0.5457  4 N 2.06-2.19
N: 0.2491 0.6635 0.3365  1 Np 2.06
N: 0.3720 0.8540 0.6280  1 Li 2.14, 1 Np 2.19
N: 0.6635 0.2491 0.7509  1 Np 2.06
N: 0.8540 0.3720 0.1460  1 Li 2.14, 1 Np 2.19

Formation energy without anion corrections, meV/atom: -939
Space-group type: Fmm2 (42)
ρ, g/cm3: 8.7
E, eV/cell: -63.88

---

No. 9
Compound: LiAcNp2N5
Source: Alexandria via LeMat-Bulk
Functional: PBE
Structure: relaxed

Lattice parameters (Å, degrees): 7.3126 7.3126 7.3126 127.97 127.97 76.67
Last column: nearest neighbours and their distance in Å.
Fractional coordinates of all 18 atoms:
Li: 0.2500 0.7500 0.5000  4 N 2.04
Li: 0.7500 0.2500 0.5000  4 N 2.04
Ac: 0.2500 0.2500 0.0000  10 N 2.83-2.87
Ac: 0.7500 0.7500 0.0000  10 N 2.83-2.87
Np: 0.1688 0.6688 0.8377  2 N 2.11
Np: 0.3312 0.1688 0.5000  2 N 2.11
Np: 0.6688 0.8312 0.5000  2 N 2.11
Np: 0.8312 0.3312 0.1623  2 N 2.11
N: 0.0000 0.0000 0.0000  4 Np 2.38
N: 0.0348 0.2204 0.5000  1 Li 2.04, 1 Np 2.11
N: 0.2204 0.7204 0.1856  1 Li 2.04, 1 Np 2.11
N: 0.2796 0.4652 0.5000  1 Li 2.04, 1 Np 2.11
N: 0.4652 0.9652 0.1856  1 Li 2.04, 1 Np 2.11
N: 0.5000 0.5000 0.0000  4 Np 2.38
N: 0.5348 0.0348 0.8144  1 Li 2.04, 1 Np 2.11
N: 0.7204 0.5348 0.5000  1 Li 2.04, 1 Np 2.11
N: 0.7796 0.2796 0.8144  1 Li 2.04, 1 Np 2.11
N: 0.9652 0.7796 0.5000  1 Li 2.04, 1 Np 2.11

Formation energy without anion corrections, meV/atom: -978
Space-group type: I4/mcm (140)
ρ, g/cm3: 10.9
E, eV/cell: -164.67

---

No. 10
Compound: LiAcNp2N4
Source: Alexandria via LeMat-Bulk
Functional: PBE
Structure: relaxed

Lattice parameters (Å, degrees): 6.0065 6.0065 11.3522 90.00 90.00 145.47
Last column: nearest neighbours and their distance in Å.
Fractional coordinates of all 16 atoms:
Li: 0.1644 0.8356 0.7500  4 N 1.98-2.09
Li: 0.8356 0.1644 0.2500  4 N 1.98-2.09
Ac: 0.1040 0.8960 0.2500  6 N 2.67-2.89
Ac: 0.8960 0.1040 0.7500  6 N 2.67-2.89
Np: 0.3695 0.6305 0.0568  6 N 2.23-2.42
Np: 0.3695 0.6305 0.4432  6 N 2.23-2.42
Np: 0.6305 0.3695 0.5568  6 N 2.23-2.42
Np: 0.6305 0.3695 0.9432  6 N 2.23-2.42
N: 0.0000 0.0000 0.0000  4 Np 2.42
N: 0.0000 0.0000 0.5000  4 Np 2.42
N: 0.2598 0.7402 0.6051  1 Li 1.98
N: 0.2598 0.7402 0.8949  1 Li 1.98
N: 0.4311 0.5689 0.2500  2 Li 2.09, 2 Np 2.30
N: 0.5689 0.4311 0.7500  2 Li 2.09, 2 Np 2.30
N: 0.7402 0.2598 0.1051  1 Li 1.98
N: 0.7402 0.2598 0.3949  1 Li 1.98

Formation energy without anion corrections, meV/atom: -1103
Space-group type: Cmcm (63)
ρ, g/cm3: 10.9
E, eV/cell: -148.05

---

No. 11
Compound: LiAcNpN3
Source: Alexandria via LeMat-Bulk
Functional: PBE
Structure: relaxed

Lattice parameters (Å, degrees): 7.2554 3.5987 7.3026 90.00 106.60 90.00
Last column: nearest neighbours and their distance in Å.
Fractional coordinates of all 12 atoms:
Li: 0.0903 0.2500 0.0748  4 N 1.93-2.10
Li: 0.9097 0.7500 0.9252  4 N 1.93-2.10
Ac: 0.2652 0.7500 0.8038  7 N 2.57-2.87
Ac: 0.7348 0.2500 0.1962  7 N 2.57-2.87
Np: 0.3351 0.7500 0.3217  2 N 2.03-2.07
Np: 0.6649 0.2500 0.6783  2 N 2.03-2.07
N: 0.0454 0.7500 0.2052  3 Li 2.00-2.10, 1 Np 2.03
N: 0.3667 0.2500 0.1232  1 Li 1.93
N: 0.3687 0.2500 0.5648  1 Np 2.07
N: 0.6313 0.7500 0.4352  1 Np 2.07
N: 0.6333 0.7500 0.8768  1 Li 1.93
N: 0.9546 0.2500 0.7948  3 Li 2.00-2.10, 1 Np 2.03

Formation energy without anion corrections, meV/atom: -1001
Space-group type: P2_1/m (11)
ρ, g/cm3: 9.3
E, eV/cell: -99.90

---

No. 12
Compound: Li2AcOsN4
Source: Alexandria via LeMat-Bulk
Functional: PBE
Structure: relaxed

Lattice parameters (Å, degrees): 5.2725 5.2725 5.2725 115.72 115.72 97.58
Last column: nearest neighbours and their distance in Å.
Fractional coordinates of all 8 atoms:
Li: 0.2500 0.7500 0.5000  4 N 2.15
Li: 0.7500 0.2500 0.5000  4 N 2.15
Ac: 0.0000 0.0000 0.0000  8 N 2.70-2.83
Os: 0.5000 0.5000 0.0000  4 N 1.84
N: 0.1578 0.1578 0.6245  1 Os 1.84
N: 0.4667 0.8422 0.0000  1 Os 1.84
N: 0.5333 0.5333 0.3755  1 Os 1.84
N: 0.8422 0.4667 0.0000  1 Os 1.84

Formation energy without anion corrections, meV/atom: -493
Space-group type: I-42m (121)
ρ, g/cm3: 7.4
E, eV/cell: -56.41